Density functional theory data (GGA-PBE) for Rb8VSe6 after structural relaxation.

a = 9.7477 Å, b = 8.9797 Å, c = 14.2865 Å
α = 90.00°, β = 90.00°, γ = 90.00°
With the nearest neighbours (Å) after each atom.
Positions (direct):
Rb (0.0000, 0.0333, 0.0735)  5 Se 3.41-3.58, 1 V 3.55
Rb (0.0000, 0.1276, 0.6185)  4 Se 3.37-3.50
Rb (0.1979, 0.4756, 0.7598)  5 Se 3.44-3.76, 1 V 3.68, 1 Rb 3.71
Rb (0.2265, 0.9231, 0.8200)  3 Se 3.38-3.66
Rb (0.2313, 0.6599, 0.5000)  4 Se 3.38-3.57, 1 Rb 3.71
Rb (0.2687, 0.3401, 0.0000)  4 Se 3.38-3.57, 1 Rb 3.71
Rb (0.2735, 0.0769, 0.3200)  3 Se 3.38-3.66
Rb (0.3021, 0.5244, 0.2598)  5 Se 3.44-3.76, 1 V 3.68, 1 Rb 3.71
Rb (0.5000, 0.8724, 0.1185)  4 Se 3.37-3.50
Rb (0.5000, 0.9667, 0.5735)  5 Se 3.41-3.58, 1 V 3.55
Rb (0.6979, 0.5244, 0.2598)  5 Se 3.44-3.76, 1 V 3.68, 1 Rb 3.71
Rb (0.7265, 0.0769, 0.3200)  3 Se 3.38-3.66
Rb (0.7313, 0.3401, 0.0000)  4 Se 3.38-3.57, 1 Rb 3.71
Rb (0.7687, 0.6599, 0.5000)  4 Se 3.38-3.57, 1 Rb 3.71
Rb (0.7735, 0.9231, 0.8200)  3 Se 3.38-3.66
Rb (0.8021, 0.4756, 0.7598)  5 Se 3.44-3.76, 1 V 3.68, 1 Rb 3.71
V (0.0000, 0.6468, 0.1263)  4 Se 2.38-2.39
V (0.5000, 0.3532, 0.6263)  4 Se 2.38-2.39
Se (0.0000, 0.2009, 0.8593)  8 Rb 3.38-3.53
Se (0.0000, 0.3893, 0.1669)  1 V 2.38
Se (0.0000, 0.7593, 0.6651)  7 Rb 3.37-3.47
Se (0.0000, 0.7843, 0.2693)  1 V 2.39
Se (0.1990, 0.7095, 0.0376)  1 V 2.38
Se (0.3010, 0.2905, 0.5376)  1 V 2.38
Se (0.5000, 0.2157, 0.7693)  1 V 2.39
Se (0.5000, 0.2407, 0.1651)  7 Rb 3.37-3.47
Se (0.5000, 0.6107, 0.6669)  1 V 2.38
Se (0.5000, 0.7991, 0.3593)  8 Rb 3.38-3.53
Se (0.6990, 0.2905, 0.5376)  1 V 2.38
Se (0.8010, 0.7095, 0.0376)  1 V 2.38

* formation energy from raw total energies: -1012.2 meV per atom
* ρ: 3.21 Mg/m³
* DOS at the Fermi energy: 14.063 states/eV/cell
* DFT total energy: -0.1297 Ha/atom

Density functional theory data (GGA-PBE) for Ba3Mg2In4 after structural relaxation.

a = 6.8197 Å, b = 6.8197 Å, c = 10.0807 Å
α = 106.10°, β = 106.10°, γ = 44.92°
With the nearest neighbours (Å) after each atom.
Positions (direct):
Ba (0.0000, 0.0000, 0.0000)  8 In 3.69-4.02
Ba (0.3631, 0.3631, 0.3124)  4 Mg 3.63-3.80, 8 In 3.63-3.92
Ba (0.6369, 0.6369, 0.6876)  4 Mg 3.63-3.80, 8 In 3.63-3.92
Mg (0.3296, 0.3296, 0.6597)  4 In 3.00-3.28
Mg (0.6704, 0.6704, 0.3403)  4 In 3.00-3.28
In (0.0877, 0.0877, 0.4179)  3 Mg 3.00-3.28, 1 In 3.13
In (0.2717, 0.2717, 0.9310)  1 Mg 3.03, 2 In 3.08
In (0.7283, 0.7283, 0.0690)  1 Mg 3.03, 2 In 3.08
In (0.9123, 0.9123, 0.5821)  3 Mg 3.00-3.28, 1 In 3.13

* calculated formation energy: -0.3404 eV per atom
* ρ: 4.84 Mg/m³
* DOS at the Fermi energy: 7.832 states/eV/cell
* DFT total energy: -0.0938 Ha/atom

Density functional theory data (GGA-PBE) for LaAgTe2O8 after structural relaxation.

a = 6.1014 Å, b = 6.1014 Å, c = 7.1034 Å
α = 90.00°, β = 90.00°, γ = 120.00°
With the nearest neighbours (Å) after each atom.
Positions (direct):
La (0.0000, 0.0000, 0.0000)  6 O 2.38
Ag (0.0000, 0.0000, 0.5000)  6 O 2.68
Te (0.3333, 0.6667, 0.6838)  4 O 1.81-1.85
Te (0.6667, 0.3333, 0.3162)  4 O 1.81-1.85
O (0.1699, 0.3399, 0.7792)  1 Te 1.85
O (0.1699, 0.8301, 0.7792)  1 Te 1.85
O (0.3333, 0.6667, 0.4287)  1 Te 1.81
O (0.3399, 0.1699, 0.2208)  1 Te 1.85
O (0.6601, 0.8301, 0.7792)  1 Te 1.85
O (0.6667, 0.3333, 0.5713)  1 Te 1.81
O (0.8301, 0.1699, 0.2208)  1 Te 1.85
O (0.8301, 0.6601, 0.2208)  1 Te 1.85

* formation energy from raw total energies: -1260.8 meV per atom
* ρ: 4.57 Mg/m³
* DOS at the Fermi energy: 0.000 states/eV/cell
* DFT total energy: -0.2109 Ha/atom

Density functional theory data (GGA-PBE) for Tb2MgU2Ru5 after structural relaxation.

a = 10.8546 Å, b = 10.8546 Å, c = 3.2979 Å
α = 90.00°, β = 90.00°, γ = 90.00°
With the nearest neighbours (Å) after each atom.
Positions (direct):
Tb (0.1606, 0.3394, 0.0000)  1 U 2.87, 2 Ru 2.97
Tb (0.3394, 0.8394, 0.0000)  1 U 2.87, 2 Ru 2.97
Tb (0.6606, 0.1606, 0.0000)  1 U 2.87, 2 Ru 2.97
Tb (0.8394, 0.6606, 0.0000)  1 U 2.87, 2 Ru 2.97
Mg (0.0000, 0.0000, 0.0000)  8 Ru 2.83
Mg (0.5000, 0.5000, 0.0000)  8 Ru 2.83
U (0.1526, 0.6526, 0.0000)  4 Ru 2.50
U (0.3474, 0.1526, 0.0000)  4 Ru 2.50
U (0.6526, 0.8474, 0.0000)  4 Ru 2.50
U (0.8474, 0.3474, 0.0000)  4 Ru 2.50
Ru (0.0000, 0.5000, 0.5000)  4 U 2.86, 4 Tb 2.97
Ru (0.0554, 0.7957, 0.5000)  2 U 2.50
Ru (0.2043, 0.0554, 0.5000)  2 U 2.50
Ru (0.2957, 0.5554, 0.5000)  2 U 2.50
Ru (0.4446, 0.2957, 0.5000)  2 U 2.50
Ru (0.5000, 0.0000, 0.5000)  4 U 2.86, 4 Tb 2.97
Ru (0.5554, 0.7043, 0.5000)  2 U 2.50
Ru (0.7043, 0.4446, 0.5000)  2 U 2.50
Ru (0.7957, 0.9446, 0.5000)  2 U 2.50
Ru (0.9446, 0.2043, 0.5000)  2 U 2.50

* calculated formation energy: -0.1757 eV per atom
* ρ: 11.31 Mg/m³
* DOS at the Fermi energy: 16.413 states/eV/cell
* DFT total energy: -0.2998 Ha/atom

Density functional theory data (GGA-PBE) for PmAs2W after structural relaxation.

a = 4.8095 Å, b = 4.8095 Å, c = 3.3613 Å
α = 90.00°, β = 90.00°, γ = 90.00°
With the nearest neighbours (Å) after each atom.
Positions (direct):
Pm (0.0000, 0.0000, 0.0000)  8 As 2.93
As (0.0000, 0.5000, 0.5000)  4 W 2.93, 4 Pm 2.93
As (0.5000, 0.0000, 0.5000)  4 W 2.93, 4 Pm 2.93
W (0.5000, 0.5000, 0.0000)  8 As 2.93

* calculated formation energy: -0.0435 eV per atom
* ρ: 10.22 Mg/m³
* DOS at the Fermi energy: 3.572 states/eV/cell
* DFT total energy: -0.2497 Ha/atom

Density functional theory data (GGA-PBE) for K2ReMo after structural relaxation.

a = 4.5275 Å, b = 4.5275 Å, c = 10.1337 Å
α = 90.57°, β = 90.57°, γ = 35.06°
With the nearest neighbours (Å) after each atom.
Positions (direct):
K (0.0000, 0.0000, 0.0000)  2 K 2.73
K (0.7484, 0.7484, 0.4173)  2 K 2.73
Re (0.4963, 0.4963, 0.6523)  1 Mo 2.40
Mo (0.2485, 0.2485, 0.7581)  1 Re 2.40

* calculated formation energy: 1.0447 eV per atom
* ρ: 5.01 Mg/m³
* DOS at the Fermi energy: 4.371 states/eV/cell
* DFT total energy: -0.1956 Ha/atom

Density functional theory data (GGA-PBE) for Ac4TlPb after structural relaxation.

a = 8.2551 Å, b = 8.2551 Å, c = 7.0780 Å
α = 90.00°, β = 90.00°, γ = 90.00°
With the nearest neighbours (Å) after each atom.
Positions (direct):
Ac (0.1621, 0.3351, 0.0000)  2 Tl 3.55, 2 Pb 3.57, 1 Ac 3.82
Ac (0.1621, 0.6649, 0.5000)  2 Tl 3.55, 2 Pb 3.57, 1 Ac 3.82
Ac (0.3351, 0.1621, 0.5000)  2 Tl 3.55, 2 Pb 3.57, 1 Ac 3.82
Ac (0.3351, 0.8379, 0.0000)  2 Tl 3.55, 2 Pb 3.57, 1 Ac 3.82
Ac (0.6649, 0.1621, 0.0000)  2 Tl 3.55, 2 Pb 3.57, 1 Ac 3.82
Ac (0.6649, 0.8379, 0.5000)  2 Tl 3.55, 2 Pb 3.57, 1 Ac 3.82
Ac (0.8379, 0.3351, 0.5000)  2 Tl 3.55, 2 Pb 3.57, 1 Ac 3.82
Ac (0.8379, 0.6649, 0.0000)  2 Tl 3.55, 2 Pb 3.57, 1 Ac 3.82
Tl (0.0000, 0.0000, 0.2500)  2 Tl 3.54, 8 Ac 3.55
Tl (0.0000, 0.0000, 0.7500)  2 Tl 3.54, 8 Ac 3.55
Pb (0.5000, 0.5000, 0.2500)  2 Pb 3.54, 8 Ac 3.57
Pb (0.5000, 0.5000, 0.7500)  2 Pb 3.54, 8 Ac 3.57

* calculated formation energy: -0.2675 eV per atom
* ρ: 9.09 Mg/m³
* DOS at the Fermi energy: 15.976 states/eV/cell
* DFT total energy: -0.1477 Ha/atom

Density functional theory data (GGA-PBE) for Tl2InHPb after structural relaxation.

a = 5.2110 Å, b = 5.2110 Å, c = 4.6566 Å
α = 90.00°, β = 90.00°, γ = 90.00°
With the nearest neighbours (Å) after each atom.
Positions (direct):
Tl (0.0000, 0.5000, 0.0000)  2 H 2.61
Tl (0.5000, 0.0000, 0.0000)  2 H 2.61
In (0.0000, 0.0000, 0.5000)  8 Tl 3.49, 4 Pb 3.68
H (0.5000, 0.5000, 0.0000)  2 Pb 2.33, 4 Tl 2.61
Pb (0.5000, 0.5000, 0.5000)  2 H 2.33

* ρ: 9.61 Mg/m³
* DOS at the Fermi energy: 2.676 states/eV/cell
* DFT total energy: -0.0997 Ha/atom

Density functional theory data (GGA-PBE) for ReTcPCl2 after structural relaxation.

a = 4.8265 Å, b = 4.8265 Å, c = 4.7085 Å
α = 90.00°, β = 90.00°, γ = 90.00°
With the nearest neighbours (Å) after each atom.
Positions (direct):
Re (0.0000, 0.0000, 0.0000)  8 Cl 3.37, 4 P 3.41
Tc (0.5000, 0.5000, 0.5000)  2 P 2.35, 4 Cl 2.41
P (0.5000, 0.5000, 0.0000)  2 Tc 2.35
Cl (0.0000, 0.5000, 0.5000)  2 Tc 2.41
Cl (0.5000, 0.0000, 0.5000)  2 Tc 2.41

* formation energy from raw total energies: 1233.9 meV per atom
* ρ: 5.85 Mg/m³
* DOS at the Fermi energy: 4.026 states/eV/cell
* DFT total energy: -0.1892 Ha/atom

Density functional theory data (GGA-PBE) for P2IO2 after structural relaxation.

a = 5.2088 Å, b = 5.2088 Å, c = 3.8730 Å
α = 90.00°, β = 90.00°, γ = 90.00°
With the nearest neighbours (Å) after each atom.
Positions (direct):
P (0.0000, 0.5000, 0.0000)  2 I 2.60
P (0.5000, 0.0000, 0.0000)  2 I 2.60
I (0.0000, 0.0000, 0.0000)  2 O 1.94
O (0.0000, 0.0000, 0.5000)  2 I 1.94
O (0.5000, 0.5000, 0.5000)  8 P 3.25

* formation energy from raw total energies: 1567.3 meV per atom
* ρ: 3.49 Mg/m³
* DOS at the Fermi energy: 4.921 states/eV/cell
* DFT total energy: -0.1062 Ha/atom

Density functional theory data (GGA-PBE) for HoCS after structural relaxation.

a = 7.5584 Å, b = 7.5584 Å, c = 3.8206 Å
α = 90.00°, β = 90.00°, γ = 152.22°
With the nearest neighbours (Å) after each atom.
Positions (direct):
Ho (0.0915, 0.9085, 0.7500)  2 C 2.43
Ho (0.9085, 0.0915, 0.2500)  2 C 2.43
C (0.4818, 0.5182, 0.7500)  1 S 1.91, 2 C 1.98
C (0.5182, 0.4818, 0.2500)  1 S 1.91, 2 C 1.98
S (0.3517, 0.6483, 0.7500)  1 C 1.91
S (0.6483, 0.3517, 0.2500)  1 C 1.91

* formation energy from raw total energies: -358.6 meV per atom
* ρ: 6.82 Mg/m³
* DOS at the Fermi energy: 1.334 states/eV/cell
* DFT total energy: -0.2328 Ha/atom

Density functional theory data (GGA-PBE) for AcSmGaIr after structural relaxation.

a = 4.4206 Å, b = 5.8209 Å, c = 5.8209 Å
α = 44.78°, β = 90.00°, γ = 90.00°
With the nearest neighbours (Å) after each atom.
Positions (direct):
Ac (0.0000, 0.0000, 0.0000)  3 Ir 3.03-3.23, 4 Ga 3.27
Sm (0.5000, 0.7157, 0.7157)  3 Ga 3.06-3.28, 4 Ir 3.21
Ga (0.5000, 0.4112, 0.4112)  2 Ir 2.61
Ir (0.0000, 0.2816, 0.2816)  2 Ga 2.61

* calculated formation energy: -0.5933 eV per atom
* ρ: 10.06 Mg/m³
* DOS at the Fermi energy: 3.305 states/eV/cell
* DFT total energy: -0.2121 Ha/atom